Density functional theory data (PBE-GGA) for an optimized crystal structure of NdZnPb.

DFT total energy (eV per cell): -63.48
Volume (Å³/atom): 28.16

a = 4.5132 Å, b = 4.5132 Å, c = 28.7388 Å
α = 90.00°, β = 90.00°, γ = 120.00°
Last column: nearest neighbours and their distance in Å.
Space group R-3m (No. 166, hexagonal axes)
Inequivalent atoms, fractional coordinates:
1 Nd 0.0000 0.0000 0.0639  6 Zn 3.17-3.21, 3 Pb 3.38
2 Zn 0.0000 0.0000 0.3345  3 Zn 2.61
3 Pb 0.0000 0.0000 0.1946  3 Pb 3.06, 3 Nd 3.38